1.
A plane-wave DFT calculation with PBE was carried out for an optimized crystal structure of ZrTlNiTe3.

Lattice parameters (Å, degrees): 8.933 3.951 10.780 90.00 113.68 90.00
Element x y z (fractional)
Te: 0.939 0.250 0.160
Te: 0.777 0.750 0.458
Te: 0.223 0.250 0.542
Te: 0.448 0.250 0.128
Te: 0.061 0.750 0.840
Te: 0.552 0.750 0.872
Ni: 0.913 0.250 0.390
Ni: 0.087 0.750 0.610
Tl: 0.714 0.250 0.705
Tl: 0.286 0.750 0.295
Zr: 0.285 0.250 0.823
Zr: 0.715 0.750 0.177

Computed properties:
total moment: 0.0 μB/cell
DFT total energy: -4.885 eV per atom
space-group type: No. 11

2.
A plane-wave DFT calculation with PBE was carried out for an optimized crystal structure of Tm3NiTe5.

Lattice parameters (Å, degrees): 8.516 8.516 3.708 90.00 90.00 120.00
Element x y z (fractional)
Te: 0.767 0.767 0.500
Te: 0.667 0.333 0.500
Te: 0.233 0.000 0.500
Te: 0.333 0.667 0.500
Te: 0.000 0.233 0.500
Tm: 0.000 0.647 0.000
Tm: 0.353 0.353 0.000
Tm: 0.647 0.000 0.000
Ni: 0.000 0.000 0.000

Computed properties:
excess energy over the best structure of this formula in the dataset: 0.143 eV per atom
total moment: 0.0 μB/cell
DFT total energy: -4.560 eV per atom
space-group type: No. 189

3.
A plane-wave DFT calculation with PBE was carried out for an optimized crystal structure of TmNi2Te.

Lattice parameters (Å, degrees): 4.156 6.235 5.394 90.00 90.00 90.00
Element x y z (fractional)
Ni: 0.500 0.676 0.137
Ni: 0.000 0.754 0.865
Ni: 0.000 0.324 0.637
Ni: 0.500 0.246 0.365
Te: 0.500 0.610 0.634
Te: 0.000 0.390 0.134
Tm: 0.500 0.083 0.865
Tm: 0.000 0.917 0.365

Computed properties:
excess energy over the best structure of this formula in the dataset: 0.000 eV per atom
total moment: 0.0 μB/cell
DFT total energy: -5.157 eV per atom
space-group type: No. 31